[1]
Computed, not measured: Tb7Er2Tm after structural relaxation at the PBE level of DFT.

Structure (extended XYZ):
```
10
Lattice="6.051 0.203 -0.936 0.956 7.473 -5.526 -1.631 -2.407 8.887" Properties=species:S:1:pos:R:3 pbc="T T T"
Tb -0.076 3.521 0.247
Tb 5.452 1.748 2.178
Tb 2.391 3.411 2.779
Tb 2.985 1.859 -0.353
Tb 0.442 5.499 -2.643
Tb 4.934 -0.230 5.069
Tb 3.504 3.838 -3.231
Er 2.911 5.380 -0.108
Er 2.466 -0.111 2.533
Tm 0.000 0.000 0.000
```

***

[2]
Computed, not measured: Tb7Er12Tm after structural relaxation at the PBE level of DFT.

Structure (extended XYZ):
```
20
Lattice="9.088 0.000 -3.213 -4.544 7.870 -3.213 0.000 0.000 9.639" Properties=species:S:1:pos:R:3 pbc="T T T"
Tb 2.272 3.935 -3.213
Tb -2.272 3.935 3.213
Tb 4.544 0.000 3.213
Tb 2.272 3.935 1.607
Tb 0.000 0.000 4.820
Tb 4.544 0.000 -1.607
Tb -2.272 3.935 -1.607
Er 1.170 5.923 3.213
Er -3.419 5.923 -0.032
Er 3.374 1.948 0.000
Er 7.963 1.948 3.245
Er 2.295 7.870 -3.245
Er 4.544 3.974 3.213
Er 2.249 0.000 6.458
Er 0.000 3.896 0.000
Er 3.420 5.922 0.032
Er 1.124 1.948 3.181
Er 5.714 1.948 -3.213
Er -1.170 5.922 6.426
Tm 0.000 0.000 0.000
```

***

[3]
Computed, not measured: Tb3Er2Tm6 after structural relaxation at the PBE level of DFT.

Structure (extended XYZ):
```
11
Lattice="-4.135 2.140 -0.296 -1.047 -1.426 4.316 9.226 13.314 4.118" Properties=species:S:1:pos:R:3 pbc="T T T"
Tb 0.000 0.000 0.000
Tb 1.372 8.523 5.670
Tb 2.672 5.505 2.467
Er 6.020 12.405 5.560
Er -1.977 1.623 2.578
Tm 1.086 2.603 3.645
Tm -0.458 4.386 1.339
Tm 2.958 11.424 4.493
Tm 4.501 9.641 6.799
Tm -0.005 5.685 4.398
Tm 4.049 8.343 3.740
```

***

[4]
Computed, not measured: TbEr4Tm3 after structural relaxation at the PBE level of DFT.

Structure (extended XYZ):
```
16
Lattice="-3.202 4.552 2.712 -3.783 -4.849 3.673 7.455 0.374 8.172" Properties=species:S:1:pos:R:3 pbc="T T T"
Tb -1.893 -1.146 1.779
Tb -0.711 0.106 8.138
Er -3.781 -3.575 3.612
Er -2.550 2.344 2.219
Er -1.743 3.954 5.171
Er -2.994 -1.961 6.554
Er -0.057 -3.380 7.701
Er 1.183 2.526 6.300
Er 0.747 -1.773 10.656
Er 1.970 4.140 9.241
Tm -4.438 -0.082 4.052
Tm -3.642 1.528 7.000
Tm -1.095 0.465 4.725
Tm 1.836 -0.959 5.864
Tm 2.632 0.652 8.811
Tm 0.085 1.715 11.086
```

***

[5]
Computed, not measured: Tb4Er5Tm4 after structural relaxation at the PBE level of DFT.

Structure (extended XYZ):
```
13
Lattice="-4.122 -1.594 2.244 -0.744 -8.975 -2.270 2.732 -3.022 8.347" Properties=species:S:1:pos:R:3 pbc="T T T"
Tb -3.247 -4.909 1.497
Tb 1.112 -8.683 6.823
Tb -3.126 -10.795 3.011
Tb 0.991 -2.797 5.309
Er -1.384 -11.016 6.053
Er -0.750 -2.576 2.267
Er 0.000 0.000 0.000
Er -2.368 -8.227 0.752
Er 0.234 -5.365 7.567
Tm -2.261 -7.708 6.793
Tm -1.501 -5.147 4.534
Tm 0.127 -5.884 1.527
Tm -0.633 -8.445 3.786
```

***

[6]
Computed, not measured: Tb8Er4Tm3 after structural relaxation at the PBE level of DFT.

Structure (extended XYZ):
```
15
Lattice="2.237 -5.574 3.336 6.304 -2.440 -1.230 7.123 4.111 9.168" Properties=species:S:1:pos:R:3 pbc="T T T"
Tb 3.982 -0.871 2.950
Tb 7.077 -2.177 2.212
Tb 8.201 -4.978 3.888
Tb 5.033 -3.752 4.506
Tb 11.682 -3.033 8.324
Tb 8.587 -1.727 9.062
Tb 7.463 1.074 7.386
Tb 10.631 -0.152 6.768
Er 0.000 0.000 0.000
Er 9.934 1.383 9.799
Er 7.832 -1.952 5.637
Er 5.730 -5.286 1.475
Tm 4.680 -0.732 6.252
Tm 3.562 2.055 4.584
Tm 6.714 0.835 3.969
```

***

Number 1: formation energy 0.019 eV/atom. Number 2: formation energy 0.725 eV/atom. Number 3: formation energy 0.288 eV/atom. Number 4: formation energy -0.002 eV/atom. Number 5: formation energy 0.021 eV/atom. Number 6: formation energy 0.154 eV/atom.